# VP2Ir, optimized geometry, DFT PBE-GGA
# - V: 18.9 A^3/atom
# - D(E_F): 3.8 states/eV/f.u.
# - Calculated formation energy: -0.169 eV per atom
# - VASP energy: -0.271 hartree per atom
# - Energy above the most stable polymorph in this dataset: 119 meV/atom
data_VP2Ir
_chemical_formula_sum 'V4 P8 Ir4'
_symmetry_space_group_name_H-M 'I -4 2 d'
_symmetry_Int_Tables_number 122
_symmetry_space_group_name_Hall 'I -4 2bw'
_cell_length_a 5.326
_cell_length_b 5.326
_cell_length_c 10.647
_cell_angle_alpha 90.00
_cell_angle_beta 90.00
_cell_angle_gamma 90.00
loop_
_atom_site_label
_atom_site_fract_x
_atom_site_fract_y
_atom_site_fract_z
V1 0.000 0.000 0.000
P1 0.239 0.250 0.625
Ir1 0.000 0.000 0.500